Nd2Zn16Ag PBE relaxed; calculated density = 7.56 g/cm³; ΔH_f (0 K) = -252.5 meV per atom; crystal system = trigonal
1.0
4.5392 2.6207 4.4393
-4.5392 2.6207 4.4393
0.0000 -5.2414 4.4393
Nd Zn Ag
2 16 1
Direct
0.0000 0.0000 0.0000
0.3252 0.3252 0.3252
0.0139 0.0139 0.5015
0.0139 0.5015 0.0139
0.1643 0.6618 0.6618
0.3103 0.3103 0.8252
0.3103 0.8252 0.3103
0.3692 0.6628 0.9562
0.3692 0.9562 0.6628
0.5015 0.0139 0.0139
0.5579 0.5579 0.5579
0.6618 0.1643 0.6618
0.6618 0.6618 0.1643
0.6628 0.3692 0.9562
0.6628 0.9562 0.3692
0.8252 0.3103 0.3103
0.9562 0.3692 0.6628
0.9562 0.6628 0.3692
0.7602 0.7602 0.7602